Record 1
## SrCr2Mo (GGA-PBE)

Data for SrCr2Mo after structural relaxation.

calculated volume	19.18	Å³ per atom
space group	Cmmm (65)
raw total energy	-6.81	eV/atom
calculated density	6.2	g cm⁻³
relative energy among the computed polymorphs	1.761	eV per formula unit

```
SrCr2Mo
1.0
-4.1111 1.5670 1.9576
-1.1995 -4.6423 0.4467
1.4021 -0.0733 3.0033
Cr Mo Sr
2 1 1
Cartesian
-2.6553 -1.5376 1.2022 Cr
0.0000 0.0000 0.0000 Cr
-1.3545 0.7469 2.4804 Mo
0.1013 -2.3578 1.7250 Sr
```



Record 2
## Sr2CrMo (GGA-PBE)

Data for Sr2CrMo after structural relaxation.

calculated volume	28.12	Å³ per atom
space group	Imm2 (44)
raw total energy	-5.23	eV/atom
calculated density	4.8	g cm⁻³
relative energy among the computed polymorphs	0.612	eV per formula unit

```
Sr2CrMo
1.0
6.3832 -0.0105 -0.0979
2.8315 5.7209 0.0979
-3.8319 -4.1065 3.0345
Sr Mo Cr
2 1 1
Cartesian
0.2004 0.1242 0.0000 Sr
3.3360 -0.7817 1.4683 Sr
2.3736 2.5881 1.5662 Mo
4.0802 2.5285 0.0000 Cr
```



Record 3
## SrCr2Mo (GGA-PBE)

Data for SrCr2Mo after structural relaxation.

calculated volume	26.37	Å³ per atom
space group	I4_1/amd (141)
raw total energy	-6.73	eV/atom
calculated density	4.5	g cm⁻³
relative energy among the computed polymorphs	2.110	eV per formula unit

```
SrCr2Mo
1.0
5.1244 0.0000 0.0000
0.0000 5.1244 0.0000
2.5622 2.5622 8.0349
Mo Cr Sr
2 4 2
Cartesian
0.0000 0.0000 0.0000 Mo
5.1244 2.5622 4.0174 Mo
3.8433 2.5625 6.0261 Cr
5.1241 1.2811 2.0087 Cr
6.4055 2.5619 6.0261 Cr
5.1247 3.8433 2.0087 Cr
2.5622 5.1244 4.0174 Sr
2.5622 2.5622 0.0000 Sr
```



Record 4
## Sr2CrMo (GGA-PBE)

Data for Sr2CrMo after structural relaxation.

calculated volume	27.06	Å³ per atom
space group	I-4m2 (119)
raw total energy	-4.92	eV/atom
calculated density	5.0	g cm⁻³
relative energy among the computed polymorphs	1.870	eV per formula unit

```
Sr2CrMo
1.0
-1.4747 4.3980 -2.6731
-5.0415 -0.6317 1.6873
4.0133 0.2201 3.5366
Mo Sr Cr
1 2 1
Cartesian
-0.3598 3.2506 0.1853 Mo
-2.1432 0.7358 2.3655 Sr
0.0000 0.0000 0.0000 Sr
-3.2581 1.8831 -0.4929 Cr
```



Record 5
## SrCr2Mo (GGA-PBE)

Data for SrCr2Mo after structural relaxation.

calculated volume	20.10	Å³ per atom
space group	P2/m (10)
raw total energy	-7.23	eV/atom
calculated density	5.9	g cm⁻³
relative energy among the computed polymorphs	0.082	eV per formula unit

```
SrCr2Mo
1.0
4.0394 0.0000 0.0000
0.0000 2.9761 -0.0013
0.0000 1.3529 6.6870
Cr Mo Sr
2 1 1
Cartesian
0.0000 2.9662 0.7334 Cr
0.0000 2.1744 2.6083 Cr
2.0197 1.0823 1.6714 Mo
2.0197 3.2468 5.0143 Sr
```



Record 6
## Sr3CrMo (GGA-PBE)

Data for Sr3CrMo after structural relaxation.

calculated volume	38.36	Å³ per atom
space group	Pm-3m (221)
raw total energy	-3.90	eV/atom
calculated density	3.6	g cm⁻³
relative energy among the computed polymorphs	0.000	eV per formula unit

```
Sr3CrMo
1.0
-4.1096 -2.1877 3.4031
-2.3317 -2.6833 -4.5408
3.3061 -4.6119 1.0276
Sr Mo Cr
3 1 1
Cartesian
1.6531 -2.3059 0.5138 Sr
-2.0548 -1.0939 1.7016 Sr
-1.1659 -1.3417 -2.2704 Sr
0.0000 0.0000 0.0000 Mo
-1.5676 -4.7415 -0.0550 Cr
```



Record 7
## Sr2CrMo (GGA-PBE)

Data for Sr2CrMo after structural relaxation.

calculated volume	31.57	Å³ per atom
space group	Cm (8)
raw total energy	-5.39	eV/atom
calculated density	4.2	g cm⁻³
relative energy among the computed polymorphs	0.000	eV per formula unit

```
Sr2CrMo
1.0
4.0140 0.0007 0.0587
2.0031 3.4784 0.0587
1.9417 1.1227 9.0842
Mo Cr Sr
1 1 2
Cartesian
1.9818 1.1459 3.4318 Mo
3.9876 2.3057 3.4698 Cr
6.0265 3.4846 1.0164 Sr
5.9593 3.4457 6.0017 Sr
```



Record 8
## Sr4CrMo (GGA-PBE)

Data for Sr4CrMo after structural relaxation.

calculated volume	40.64	Å³ per atom
space group	F-43m (216)
raw total energy	-3.17	eV/atom
calculated density	3.4	g cm⁻³

```
Sr4CrMo
1.0
-0.4403 -4.2033 5.5962
-6.1177 -0.7578 3.3434
-3.5052 -6.0585 -0.4323
Sr Cr Mo
4 1 1
Cartesian
-3.7718 -4.1303 3.1886 Sr
-6.8352 -4.5097 4.8629 Sr
-5.5270 -7.1641 2.9721 Sr
-3.9923 -6.2351 5.9910 Sr
-7.5474 -8.2647 6.3805 Cr
0.0000 0.0000 0.0000 Mo
```



Record 9
## SrCr2Mo (GGA-PBE)

Data for SrCr2Mo after structural relaxation.

calculated volume	19.64	Å³ per atom
space group	Pm (6)
raw total energy	-7.21	eV/atom
calculated density	6.1	g cm⁻³
relative energy among the computed polymorphs	0.162	eV per formula unit

```
SrCr2Mo
1.0
-1.8255 0.2507 -3.1839
0.8006 -2.8478 -0.6833
-5.2742 -4.3300 2.6830
Sr Cr Mo
1 2 1
Cartesian
-4.2919 -5.4721 -0.0952 Sr
0.2495 -3.2273 -0.3972 Cr
-2.0140 -1.4670 -1.0859 Cr
-1.6788 -3.1974 0.7108 Mo
```



Record 10
## SrCr4Mo (GGA-PBE)

Data for SrCr4Mo after structural relaxation.

calculated volume	15.30	Å³ per atom
space group	F-43m (216)
raw total energy	-7.73	eV/atom
calculated density	7.1	g cm⁻³

```
SrCr4Mo
1.0
2.9290 -3.6435 1.9466
-1.1074 -4.8667 -0.8560
2.9517 -2.7713 -3.0415
Cr Sr Mo
4 1 1
Cartesian
1.2429 -6.6580 -1.1585 Cr
1.7934 -4.2386 -0.7330 Cr
3.2495 -6.0499 0.2348 Cr
3.2608 -5.6163 -2.2450 Cr
0.0000 0.0000 0.0000 Sr
3.5800 -8.4610 -1.4632 Mo
```



Record 11
## SrCr2Mo (GGA-PBE)

Data for SrCr2Mo after structural relaxation.

calculated volume	22.25	Å³ per atom
space group	Cm (8)
raw total energy	-7.21	eV/atom
calculated density	5.4	g cm⁻³
relative energy among the computed polymorphs	0.190	eV per formula unit

```
SrCr2Mo
1.0
-2.8585 1.2226 -3.0485
-1.6846 -2.4982 -3.1433
-5.7999 -1.8722 1.6651
Cr Sr Mo
2 1 1
Cartesian
-2.5119 -0.7614 -1.2205 Cr
-5.2903 -1.5292 -5.4881 Cr
-7.7735 -2.3673 -3.3391 Sr
-4.4820 -1.3392 -2.9344 Mo
```



Record 12
## Sr2CrMo (GGA-PBE)

Data for Sr2CrMo after structural relaxation.

calculated volume	25.36	Å³ per atom
space group	Fm-3m (225)
raw total energy	-4.17	eV/atom
calculated density	5.3	g cm⁻³
relative energy among the computed polymorphs	4.856	eV per formula unit

```
Sr2CrMo
1.0
-0.0941 -4.3322 2.9374
-3.6060 -0.5373 3.7569
-3.8803 -3.4671 -0.5729
Mo Sr Cr
1 2 1
Cartesian
-3.7902 -4.1684 3.0607 Mo
-1.8951 -2.0842 1.5303 Sr
-5.6853 -6.2525 4.5910 Sr
0.0000 0.0000 0.0000 Cr
```



Record 13
## Sr2CrMo (GGA-PBE)

Data for Sr2CrMo after structural relaxation.

calculated volume	28.46	Å³ per atom
space group	R-3m (166)
raw total energy	-4.65	eV/atom
calculated density	4.7	g cm⁻³
relative energy among the computed polymorphs	2.932	eV per formula unit

```
Sr2CrMo
1.0
-5.1945 4.7719 8.1830
-7.5424 2.2714 7.3939
-4.8445 1.5402 9.5328
Cr Sr Mo
1 2 1
Cartesian
-4.3953 2.1459 6.2774 Cr
-8.6869 4.2411 12.4066 Sr
-0.1038 0.0507 0.1482 Sr
-13.1860 6.4377 18.8323 Mo
```



Record 14
## SrCr2Mo (GGA-PBE)

Data for SrCr2Mo after structural relaxation.

calculated volume	20.34	Å³ per atom
space group	R-3m (166)
raw total energy	-6.95	eV/atom
calculated density	5.9	g cm⁻³
relative energy among the computed polymorphs	1.215	eV per formula unit

```
SrCr2Mo
1.0
9.2872 -0.0236 -0.0139
8.7394 3.1424 -0.0139
8.7394 1.5120 2.7547
Mo Sr Cr
1 1 2
Cartesian
6.6915 1.1577 0.6817 Mo
20.0746 3.4730 2.0452 Sr
13.8695 2.3995 1.4130 Cr
26.2796 4.5465 2.6773 Cr
```



Record 15
## Sr2CrMo (GGA-PBE)

Data for Sr2CrMo after structural relaxation.

calculated volume	30.05	Å³ per atom
space group	Immm (71)
raw total energy	-5.23	eV/atom
calculated density	4.5	g cm⁻³
relative energy among the computed polymorphs	0.614	eV per formula unit

```
Sr2CrMo
1.0
9.5857 -0.0916 0.0810
8.9424 3.4535 0.0810
0.6501 0.1180 3.5495
Mo Cr Sr
1 1 2
Cartesian
4.7945 0.8700 0.9279 Mo
14.3836 2.6099 2.7836 Cr
7.8256 1.4200 2.1907 Sr
2.4136 0.4379 3.2145 Sr
```



Record 16
## SrTiCr2Mo (GGA-PBE)

Data for SrTiCr2Mo after structural relaxation.

calculated volume	21.76	Å³ per atom
space group	P4/mmm (123)
raw total energy	-6.20	eV/atom
calculated density	5.1	g cm⁻³

```
SrTiCr2Mo
1.0
-1.6678 3.8686 -1.6739
-3.6389 -0.4127 2.6717
2.4847 2.7172 3.8040
Ti Cr Sr Mo
1 2 1 1
Cartesian
-1.4110 3.0865 2.4009 Ti
-0.8339 1.9343 -0.8370 Cr
-1.8194 -0.2064 1.3358 Cr
1.2424 1.3586 1.9020 Sr
0.0000 0.0000 0.0000 Mo
```



Record 17
## SrCrMoW2 (GGA-PBE)

Data for SrCrMoW2 after structural relaxation.

calculated volume	20.58	Å³ per atom
space group	P4/mmm (123)
raw total energy	-8.27	eV/atom
calculated density	9.7	g cm⁻³
relative energy among the computed polymorphs	0.000	eV per formula unit

```
SrCrMoW2
1.0
-3.5000 -1.7839 2.5545
0.1421 -3.9298 -2.5496
3.1125 -1.8266 2.9889
W Sr Cr Mo
2 1 1 1
Cartesian
-1.7500 -0.8920 1.2773 W
1.5563 -0.9133 1.4944 W
-0.1227 -3.7702 1.4969 Sr
0.0000 0.0000 0.0000 Cr
0.0711 -1.9649 -1.2748 Mo
```



Record 18
## SrCrMoW2 (GGA-PBE)

Data for SrCrMoW2 after structural relaxation.

calculated volume	19.73	Å³ per atom
space group	P4/mmm (123)
raw total energy	-6.23	eV/atom
calculated density	10.2	g cm⁻³
relative energy among the computed polymorphs	10.198	eV per formula unit

```
SrCrMoW2
1.0
-1.0586 3.2442 -3.3329
-4.0477 0.2511 1.5300
1.3383 3.4860 2.9682
Sr W Mo Cr
1 2 1 1
Cartesian
0.0000 0.0000 0.0000 Sr
-0.5293 1.6221 -1.6665 W
0.6691 1.7430 1.4841 W
-1.8840 3.4907 0.5827 Mo
-2.0238 0.1256 0.7650 Cr
```



Record 19
## TaCr2Mo2 (GGA-PBE)

Data for TaCr2Mo2 after structural relaxation.

calculated volume	15.02	Å³ per atom
space group	P4/mbm (127)
raw total energy	-10.18	eV/atom
calculated density	10.5	g cm⁻³
relative energy among the computed polymorphs	0.000	eV per formula unit

```
TaCr2Mo2
1.0
7.1513 0.0000 0.0000
0.0000 7.1513 0.0000
0.0000 0.0000 2.9361
Mo Cr Ta
4 4 2
Cartesian
4.7175 6.0094 1.4681 Mo
1.1419 4.7175 1.4681 Mo
6.0094 2.4338 1.4681 Mo
2.4338 1.1419 1.4681 Mo
2.5571 6.1328 0.0000 Cr
4.5942 1.0185 0.0000 Cr
1.0185 2.5571 0.0000 Cr
6.1328 4.5942 0.0000 Cr
0.0000 0.0000 0.0000 Ta
3.5756 3.5756 0.0000 Ta
```



Record 20
## TaCrMo2 (GGA-PBE)

Data for TaCrMo2 after structural relaxation.

calculated volume	15.41	Å³ per atom
space group	Immm (71)
raw total energy	-10.83	eV/atom
calculated density	11.4	g cm⁻³
relative energy among the computed polymorphs	0.024	eV per formula unit

```
TaCrMo2
1.0
5.1859 -0.0027 -0.0018
2.3301 4.6330 0.0018
-3.2777 -3.0947 2.5638
Mo Ta Cr
2 1 1
Cartesian
3.7083 2.2845 0.0000 Mo
0.0497 0.0306 0.0000 Mo
2.8331 -0.3911 1.2810 Ta
1.4052 1.9267 1.2828 Cr
```



Record 21
## Ta3CrMo4 (GGA-PBE)

Data for Ta3CrMo4 after structural relaxation.

calculated volume	16.15	Å³ per atom
space group	P4/mmm (123)
raw total energy	-11.18	eV/atom
calculated density	12.6	g cm⁻³

```
Ta3CrMo4
1.0
3.1851 0.0000 0.0000
0.0000 3.1851 0.0000
0.0000 0.0000 12.7373
Mo Ta Cr
4 3 1
Cartesian
0.0000 0.0000 4.7267 Mo
0.0000 0.0000 8.0106 Mo
0.0000 0.0000 1.4608 Mo
0.0000 0.0000 11.2765 Mo
1.5925 1.5925 6.3686 Ta
1.5925 1.5925 9.6263 Ta
1.5925 1.5925 3.1110 Ta
1.5925 1.5925 0.0000 Cr
```



Record 22
## Ta3CrMo (GGA-PBE)

Data for Ta3CrMo after structural relaxation.

calculated volume	22.40	Å³ per atom
space group	Pm-3m (221)
raw total energy	-9.62	eV/atom
calculated density	10.2	g cm⁻³
relative energy among the computed polymorphs	2.123	eV per formula unit

```
Ta3CrMo
1.0
4.8206 0.0000 0.0000
0.0000 4.8206 0.0000
0.0000 0.0000 4.8206
Ta Cr Mo
3 1 1
Cartesian
2.4103 0.0000 0.0000 Ta
0.0000 0.0000 2.4103 Ta
0.0000 2.4103 0.0000 Ta
2.4103 2.4103 2.4103 Cr
0.0000 0.0000 0.0000 Mo
```



Record 23
## Ta4CrMo (GGA-PBE)

Data for Ta4CrMo after structural relaxation.

calculated volume	18.28	Å³ per atom
space group	F-43m (216)
raw total energy	-10.78	eV/atom
calculated density	13.2	g cm⁻³
relative energy among the computed polymorphs	3.644	eV per formula unit

```
Ta4CrMo
1.0
-1.4716 -4.8729 1.7209
-3.7984 -2.7441 -2.6296
1.3203 -4.3649 -2.8420
Ta Cr Mo
4 1 1
Cartesian
-2.2169 -6.9297 -0.5461 Ta
-1.4811 -4.4933 -1.4065 Ta
-0.8210 -6.6757 -2.8275 Ta
-3.3803 -5.8653 -2.7213 Ta
-2.9623 -8.9864 -2.8130 Cr
0.0000 0.0000 0.0000 Mo
```



Record 24
## TaCrMo2 (GGA-PBE)

Data for TaCrMo2 after structural relaxation.

calculated volume	15.38	Å³ per atom
space group	Fm-3m (225)
raw total energy	-10.80	eV/atom
calculated density	11.5	g cm⁻³
relative energy among the computed polymorphs	0.167	eV per formula unit

```
TaCrMo2
1.0
0.0000 3.1329 3.1329
3.1329 0.0000 3.1329
3.1329 3.1329 0.0000
Mo Ta Cr
2 1 1
Cartesian
1.5665 1.5665 1.5665 Mo
4.6994 4.6994 4.6994 Mo
3.1329 3.1329 3.1329 Ta
0.0000 0.0000 0.0000 Cr
```



Record 25
## TaCrMo (GGA-PBE)

Data for TaCrMo after structural relaxation.

calculated volume	15.30	Å³ per atom
space group	Fmm2 (42)
raw total energy	-10.74	eV/atom
calculated density	11.9	g cm⁻³
relative energy among the computed polymorphs	0.261	eV per formula unit

```
TaCrMo
1.0
-1.5670 -4.4154 5.0056
-2.4318 -5.5956 2.6788
2.3904 -1.1022 0.7912
Ta Mo Cr
1 1 1
Cartesian
0.2256 -4.1206 3.1267 Ta
-1.8160 -6.9674 5.3294 Mo
2.3723 -1.1274 0.8107 Cr
```



Record 26
## Ta4CrMo (GGA-PBE)

Data for Ta4CrMo after structural relaxation.

calculated volume	19.34	Å³ per atom
space group	P4/mmm (123)
raw total energy	-10.75	eV/atom
calculated density	12.5	g cm⁻³
relative energy among the computed polymorphs	3.789	eV per formula unit

```
Ta4CrMo
1.0
4.3324 0.0001 -0.0014
-0.0001 4.3330 -0.0019
0.0029 0.0047 6.1828
Mo Ta Cr
1 4 1
Cartesian
2.1746 2.1594 6.1697 Mo
2.1743 4.3256 4.5573 Ta
0.0059 2.1551 1.5990 Ta
0.0081 2.1591 4.5590 Ta
2.1721 4.3216 1.5972 Ta
0.0070 4.3238 3.0779 Cr
```



Record 27
## Ta3Cr8Mo (GGA-PBE)

Data for Ta3Cr8Mo after structural relaxation.

calculated volume	13.74	Å³ per atom
space group	P3m1 (156)
raw total energy	-10.35	eV/atom
calculated density	10.6	g cm⁻³

```
Ta3Cr8Mo
1.0
4.8770 0.0000 0.0000
-2.4385 4.2236 0.0000
0.0000 0.0000 8.0015
Ta Cr Mo
3 8 1
Cartesian
2.4385 1.4079 0.4866 Ta
2.4385 1.4079 3.5481 Ta
0.0000 0.0000 7.5092 Ta
0.0000 2.8158 7.9886 Cr
1.2431 2.0981 5.9926 Cr
-1.2438 3.5338 2.0090 Cr
0.0000 1.3795 2.0090 Cr
2.4385 0.0275 5.9926 Cr
1.2438 3.5338 2.0090 Cr
0.0000 2.8158 4.0102 Cr
3.6340 2.0981 5.9926 Cr
0.0000 0.0000 4.4628 Mo
```



Record 28
## TaCrMo2 (GGA-PBE)

Data for TaCrMo2 after structural relaxation.

calculated volume	15.45	Å³ per atom
space group	P2/m (10)
raw total energy	-10.78	eV/atom
calculated density	11.4	g cm⁻³
relative energy among the computed polymorphs	0.215	eV per formula unit

```
TaCrMo2
1.0
-3.8146 2.0574 -0.7489
-1.3739 -2.2019 0.9486
-0.3264 1.2178 5.0083
Ta Mo Cr
1 2 1
Cartesian
-2.3323 0.7827 1.1148 Ta
-0.8621 -0.4996 3.0185 Mo
-1.6883 -0.9765 5.9168 Mo
-3.1825 0.2906 4.0932 Cr
```



Record 29
## TaCrMo2 (GGA-PBE)

Data for TaCrMo2 after structural relaxation.

calculated volume	15.79	Å³ per atom
space group	I-4m2 (119)
raw total energy	-10.52	eV/atom
calculated density	11.2	g cm⁻³
relative energy among the computed polymorphs	1.288	eV per formula unit

```
TaCrMo2
1.0
-3.1628 1.2681 -4.0701
-5.2656 0.2733 0.6137
4.4188 1.7590 2.3574
Mo Cr Ta
2 1 1
Cartesian
-2.5305 1.4015 0.6214 Mo
0.0000 0.0000 0.0000 Mo
-1.4791 1.8989 -1.7205 Cr
-4.2142 0.7707 -1.7282 Ta
```